Entry from the Alexandria database: crystalline Ho3ErS at its relaxed geometry (GGA-PBE).

Results
* E: -5.12 eV per atom
* total magnetic moment: 0.01 μB per formula unit
* Fermi-level density of states: 8.4 states/eV/f.u.
* space-group type: Pm-3m
* energy relative to the elements, uncorrected: -0.633 eV per atom

```
data_Ho3ErS
_chemical_formula_sum 'Ho3 Er1 S1'
_cell_length_a 5.261
_cell_length_b 5.261
_cell_length_c 5.261
_cell_angle_alpha 90.00
_cell_angle_beta 90.00
_cell_angle_gamma 90.00
_space_group_name_H-M_alt 'P 1'
_space_group_IT_number 1
_space_group_name_Hall 'P 1'
loop_
_atom_site_label
_atom_site_fract_x
_atom_site_fract_y
_atom_site_fract_z
Ho1 0.000 0.000 0.500
Ho2 0.500 0.000 0.000
Er1 0.500 0.500 0.500
Ho3 0.000 0.500 0.000
S1 0.000 0.000 0.000
```



Entry from the Alexandria database: crystalline Ho3Er4S8 at its relaxed geometry (GGA-PBE).

Results
* E: -6.37 eV per atom
* total magnetic moment: 0.00 μB per formula unit
* Fermi-level density of states: 6.0 states/eV/f.u.
* space-group type: C2/m
* energy relative to the elements, uncorrected: -2.035 eV per atom

```
data_Ho3Er4S8
_chemical_formula_sum 'Ho3 Er4 S8'
_cell_length_a 7.730
_cell_length_b 7.732
_cell_length_c 7.732
_cell_angle_alpha 90.01
_cell_angle_beta 119.98
_cell_angle_gamma 119.98
_space_group_name_H-M_alt 'P 1'
_space_group_IT_number 1
_space_group_name_Hall 'P 1'
loop_
_atom_site_label
_atom_site_fract_x
_atom_site_fract_y
_atom_site_fract_z
Ho1 0.500 0.500 0.500
S1 0.500 0.751 0.249
Ho2 0.500 0.500 0.000
Ho3 0.500 0.000 0.500
S2 0.500 0.249 0.751
S3 0.999 0.250 0.250
Er1 0.000 0.000 0.500
Er2 0.500 0.000 0.000
S4 0.001 0.750 0.750
S5 0.499 0.750 0.750
S6 0.000 0.251 0.749
Er3 0.000 0.500 0.000
S7 0.000 0.749 0.251
Er4 0.000 0.000 0.000
S8 0.501 0.250 0.250
```



Entry from the Alexandria database: crystalline Ho3ErSc3S8 at its relaxed geometry (GGA-PBE).

Results
* E: -6.67 eV per atom
* total magnetic moment: 0.00 μB per formula unit
* Fermi-level density of states: 6.6 states/eV/f.u.
* space-group type: R-3m
* energy relative to the elements, uncorrected: -1.983 eV per atom

```
data_Ho3ErSc3S8
_chemical_formula_sum 'Ho3 Er1 Sc3 S8'
_cell_length_a 7.548
_cell_length_b 7.548
_cell_length_c 7.606
_cell_angle_alpha 119.75
_cell_angle_beta 90.00
_cell_angle_gamma 120.00
_space_group_name_H-M_alt 'P 1'
_space_group_IT_number 1
_space_group_name_Hall 'P 1'
loop_
_atom_site_label
_atom_site_fract_x
_atom_site_fract_y
_atom_site_fract_z
Sc1 0.000 0.500 0.500
Sc2 0.500 0.500 0.500
Er1 0.000 0.000 0.500
S1 0.747 0.493 0.256
Ho1 0.000 0.000 0.000
S2 0.263 0.009 0.256
S3 0.745 0.491 0.736
S4 0.253 0.507 0.744
Sc3 0.500 0.000 0.500
S5 0.255 0.509 0.264
S6 0.737 0.991 0.744
Ho2 0.500 0.500 0.000
Ho3 0.000 0.500 0.000
S7 0.254 0.991 0.744
S8 0.746 0.009 0.256
```



Entry from the Alexandria database: crystalline Ho3Er4ScS8 at its relaxed geometry (GGA-PBE).

Results
* E: -6.40 eV per atom
* total magnetic moment: 0.00 μB per formula unit
* Fermi-level density of states: 9.5 states/eV/f.u.
* space-group type: R-3m
* energy relative to the elements, uncorrected: -1.941 eV per atom

```
data_Ho3Er4ScS8
_chemical_formula_sum 'Ho3 Er4 Sc1 S8'
_cell_length_a 7.708
_cell_length_b 7.707
_cell_length_c 7.708
_cell_angle_alpha 120.00
_cell_angle_beta 120.00
_cell_angle_gamma 90.00
_space_group_name_H-M_alt 'P 1'
_space_group_IT_number 1
_space_group_name_Hall 'P 1'
loop_
_atom_site_label
_atom_site_fract_x
_atom_site_fract_y
_atom_site_fract_z
S1 0.249 0.248 0.499
S2 0.246 0.747 0.492
S3 0.246 0.748 0.001
S4 0.754 0.252 0.999
Er1 0.000 0.000 0.500
Ho1 0.500 0.500 0.500
S5 0.754 0.253 0.508
Er2 0.500 0.000 0.500
S6 0.751 0.752 0.501
Ho2 0.500 0.500 0.000
S7 0.755 0.748 0.001
Sc1 0.000 0.500 0.000
S8 0.245 0.252 0.999
Er3 0.500 0.000 0.000
Ho3 0.000 0.500 0.500
Er4 0.000 0.000 0.000
```



Entry from the Alexandria database: crystalline Ho3ErSc2S6 at its relaxed geometry (GGA-PBE).

Results
* E: -6.57 eV per atom
* total magnetic moment: 0.00 μB per formula unit
* Fermi-level density of states: 5.3 states/eV/f.u.
* space-group type: C2/m
* energy relative to the elements, uncorrected: -1.931 eV per atom

```
data_Ho3ErSc2S6
_chemical_formula_sum 'Ho3 Er1 Sc2 S6'
_cell_length_a 6.617
_cell_length_b 6.617
_cell_length_c 6.621
_cell_angle_alpha 99.55
_cell_angle_beta 99.55
_cell_angle_gamma 120.19
_space_group_name_H-M_alt 'P 1'
_space_group_IT_number 1
_space_group_name_Hall 'P 1'
loop_
_atom_site_label
_atom_site_fract_x
_atom_site_fract_y
_atom_site_fract_z
Ho1 0.836 0.164 0.500
Ho2 0.500 0.500 0.500
Er1 0.000 0.000 0.000
Sc1 0.667 0.333 0.000
Sc2 0.333 0.667 0.000
S1 0.920 0.579 0.759
Ho3 0.164 0.836 0.500
S2 0.421 0.080 0.241
S3 0.261 0.261 0.762
S4 0.739 0.739 0.238
S5 0.080 0.421 0.241
S6 0.579 0.920 0.759
```



Entry from the Alexandria database: crystalline Ho2ErScS4 at its relaxed geometry (GGA-PBE).

Results
* E: -6.50 eV per atom
* total magnetic moment: 0.00 μB per formula unit
* Fermi-level density of states: 5.0 states/eV/f.u.
* space-group type: P2/m
* energy relative to the elements, uncorrected: -1.933 eV per atom

```
data_Ho2ErScS4
_chemical_formula_sum 'Ho2 Er1 Sc1 S4'
_cell_length_a 3.807
_cell_length_b 6.652
_cell_length_c 6.667
_cell_angle_alpha 109.14
_cell_angle_beta 90.00
_cell_angle_gamma 90.00
_space_group_name_H-M_alt 'P 1'
_space_group_IT_number 1
_space_group_name_Hall 'P 1'
loop_
_atom_site_label
_atom_site_fract_x
_atom_site_fract_y
_atom_site_fract_z
S1 0.500 0.759 0.760
S2 0.000 0.247 0.756
S3 0.500 0.241 0.240
Sc1 0.000 0.000 0.000
Ho1 0.000 0.500 0.500
Er1 0.500 0.500 0.000
S4 0.000 0.753 0.244
Ho2 0.500 0.000 0.500
```